This record from Alexandria describes an optimized crystal structure of Tl4Cd4Hg. The functional is PBE.

Cell and atoms, written as extended XYZ:
```
9
Lattice="-2.030 3.436 2.509 0.128 -2.040 7.326 5.410 4.941 2.040" Properties=species:S:1:pos:R:3 pbc="T T T"
Tl 5.090 5.173 3.677
Tl -1.582 1.163 8.197
Tl 0.177 3.492 6.431
Tl 3.331 2.844 5.443
Cd 0.873 3.103 3.099
Cd 2.635 3.233 8.775
Cd 1.654 0.510 7.283
Cd 1.854 5.826 4.591
Hg -0.951 0.698 4.917
```

Calculated values
Energy: -13.04 eV per formula unit
Total magnetic moment: 0.00 Bohr magnetons per cell
DOS at the Fermi energy: 4.00 states/eV/cell
SG: I4/mmm (139)
E_form: 0.0425 eV/atom